1.
VASP calculation (PBE) on CoReSiHg after structural relaxation.

Computed properties:
relative energy among the computed polymorphs = 0 meV per atom
uncorrected energy = -22.9 eV/cell

abc: 4.360 4.360 4.360
angles: 60.00 60.00 60.00
Fractional coordinates of all 4 atoms:
Co 0.750 0.750 0.750
Re 0.250 0.250 0.250
Hg 0.500 0.500 0.500
Si 0.000 0.000 0.000

---

2.
VASP calculation (PBE) on Be2NbNi after structural relaxation.

Computed properties:
uncorrected energy = -23.5 eV/cell

abc: 4.038 4.038 4.038
angles: 60.00 60.00 60.00
Fractional coordinates of all 4 atoms:
Be 0.500 0.500 0.500
Be 0.750 0.750 0.750
Ni 0.000 0.000 0.000
Nb 0.250 0.250 0.250

---

3.
VASP calculation (PBE) on Ni2PdPb after structural relaxation.

Computed properties:
uncorrected energy = -19.7 eV/cell

abc: 4.411 4.411 4.411
angles: 60.00 60.00 60.00
Fractional coordinates of all 4 atoms:
Pb 0.500 0.500 0.500
Ni 0.750 0.750 0.750
Ni 0.000 0.000 0.000
Pd 0.250 0.250 0.250

---

4.
VASP calculation (PBE) on HfBi2Au after structural relaxation.

Computed properties:
uncorrected energy = -20.5 eV/cell

abc: 5.193 5.193 5.193
angles: 60.00 60.00 60.00
Fractional coordinates of all 4 atoms:
Bi 0.000 0.000 0.000
Bi 0.750 0.750 0.750
Hf 0.250 0.250 0.250
Au 0.500 0.500 0.500

---

5.
VASP calculation (PBE) on Dy2YSn3IrPd2 after structural relaxation.

Computed properties:
uncorrected energy = -55.2 eV/cell

abc: 3.870 7.636 7.636
angles: 120.04 90.00 90.00
Fractional coordinates of all 9 atoms:
Y 0.000 0.601 0.601
Sn 0.500 0.261 0.261
Sn 0.500 0.740 0.000
Sn 0.500 0.000 0.740
Pd 0.500 0.667 0.332
Pd 0.500 0.332 0.667
Dy 0.000 0.399 0.000
Dy 0.000 0.000 0.399
Ir 0.000 0.001 0.001

---

6.
VASP calculation (PBE) on NaDyHgSe3 after structural relaxation.

Computed properties:
relative energy among the computed polymorphs = 13 meV per atom
uncorrected energy = -93.0 eV/cell

abc: 12.244 4.148 12.872
angles: 90.00 90.00 90.00
Fractional coordinates of all 24 atoms:
Hg 0.708 0.500 0.766
Hg 0.292 0.000 0.234
Hg 0.208 0.000 0.734
Hg 0.792 0.500 0.266
Se 0.576 0.500 0.925
Se 0.924 0.500 0.425
Se 0.341 0.000 0.440
Se 0.659 0.500 0.560
Se 0.841 0.500 0.060
Se 0.356 0.500 0.733
Se 0.644 0.000 0.267
Se 0.424 0.000 0.075
Se 0.159 0.000 0.940
Se 0.144 0.500 0.233
Se 0.856 0.000 0.767
Se 0.076 0.000 0.575
Dy 0.829 0.000 0.552
Dy 0.329 0.500 0.948
Dy 0.671 0.000 0.052
Dy 0.171 0.500 0.448
Na 0.493 0.000 0.629
Na 0.993 0.500 0.871
Na 0.007 0.000 0.129
Na 0.507 0.500 0.371

---

7.
VASP calculation (PBE) on NaAg3PdO4 after structural relaxation.

Computed properties:
uncorrected energy = -34.3 eV/cell

abc: 5.369 5.369 5.369
angles: 90.00 90.00 90.00
Fractional coordinates of all 9 atoms:
O 0.266 0.734 0.734
O 0.266 0.266 0.266
O 0.734 0.734 0.266
O 0.734 0.266 0.734
Na 0.000 0.000 0.000
Pd 0.500 0.500 0.500
Ag 0.500 0.000 0.500
Ag 0.000 0.500 0.500
Ag 0.500 0.500 0.000

---

8.
VASP calculation (PBE) on AcTaHg after structural relaxation.

Computed properties:
ΔE_f = 890 meV per atom
uncorrected energy = -13.6 eV/cell

abc: 5.111 5.111 5.111
angles: 60.00 60.00 60.00
Each line ends with the local moment (μB).
Fractional coordinates of all 3 atoms:
Ta 0.750 0.750 0.750  1.49
Hg 0.000 0.000 0.000  0.01
Ac 0.250 0.250 0.250  0.14

---

9.
VASP calculation (PBE) on SmSiTe after structural relaxation.

Computed properties:
uncorrected energy = -13.9 eV/cell

abc: 4.923 4.923 4.923
angles: 60.00 60.00 60.00
Fractional coordinates of all 3 atoms:
Te 0.750 0.750 0.750
Sm 0.250 0.250 0.250
Si 0.000 0.000 0.000

---

10.
VASP calculation (PBE) on Pr2Gd2CF5 after structural relaxation.

Computed properties:
uncorrected energy = -63.8 eV/cell

abc: 7.759 7.759 7.203
angles: 110.32 110.32 26.84
Fractional coordinates of all 10 atoms:
F 0.180 0.180 0.920
F 0.818 0.818 0.655
F 0.182 0.182 0.345
F 0.500 0.500 0.500
F 0.820 0.820 0.080
Pr 0.000 0.000 0.758
Pr 0.000 0.000 0.242
C 0.500 0.500 0.000
Gd 0.332 0.332 0.866
Gd 0.668 0.668 0.134

---

11.
VASP calculation (PBE) on Ta2Pt2Pb3 after structural relaxation.

Computed properties:
uncorrected energy = -41.9 eV/cell

abc: 8.522 8.522 8.522
angles: 32.00 32.00 32.00
Fractional coordinates of all 7 atoms:
Pb 0.863 0.863 0.863
Pb 0.384 0.384 0.384
Pb 0.624 0.624 0.624
Pt 0.500 0.500 0.500
Pt 0.010 0.010 0.010
Ta 0.748 0.748 0.748
Ta 0.247 0.247 0.247

---

12.
VASP calculation (PBE) on Rb2MoS3 after structural relaxation.

Computed properties:
relative energy among the computed polymorphs = 0 meV per atom
uncorrected energy = -61.8 eV/cell

abc: 6.955 7.504 8.682
angles: 73.92 68.84 65.83
Fractional coordinates of all 12 atoms:
Rb 0.911 0.802 0.864
Rb 0.089 0.198 0.136
Rb 0.336 0.566 0.304
Rb 0.664 0.434 0.696
S 0.824 0.637 0.278
S 0.270 0.961 0.488
S 0.381 0.832 0.902
S 0.176 0.363 0.722
S 0.730 0.039 0.512
S 0.619 0.168 0.098
Mo 0.621 0.948 0.335
Mo 0.379 0.052 0.665